Record 1
KLiTe: optimized geometry, GGA-PBEsol.

POSCAR file:
```
KLiTe
1.0
-2.818 -0.812 3.431
-3.024 -1.701 -2.887
4.728 -2.833 0.245
K Te Li
1 1 1
direct
0.011 0.011 0.022 K
0.652 0.652 0.303 Te
0.337 0.337 0.675 Li
```

Computed properties:
Energy (eV/f.u.): -8.8
Raw formation energy (eV/f.u.): -2.173
Space group: I4mm

***

Record 2
KLiTe2: optimized geometry, GGA-PBEsol.

POSCAR file:
```
KLiTe2
1.0
4.596 0.000 0.000
0.000 4.935 0.000
0.000 0.000 4.935
Te K Li
2 1 1
direct
0.000 0.500 0.000 Te
0.000 0.000 0.500 Te
0.500 0.500 0.500 K
0.500 0.000 0.000 Li
```

Computed properties:
Energy (eV/f.u.): -12.5
E above lowest polymorph (eV/f.u.): 0.53
Raw formation energy (eV/f.u.): -2.348
Space group: P4/mmm

***

Record 3
KLiTe: optimized geometry, GGA-PBEsol.

POSCAR file:
```
KLiTe
1.0
-1.721 -2.800 3.310
-0.436 -1.162 -4.496
4.303 -2.404 0.204
Te K Li
1 1 1
direct
0.333 0.667 0.500 Te
0.000 0.000 0.000 K
0.667 0.333 0.500 Li
```

Computed properties:
Energy (eV/f.u.): -9.6
Raw formation energy (eV/f.u.): -2.977
Space group: P-6m2

***

Record 4
KLiTl: optimized geometry, GGA-PBEsol.

POSCAR file:
```
KLiTl
1.0
5.270 0.000 0.000
2.635 4.564 0.000
2.635 1.521 4.303
K Tl Li
1 1 1
direct
0.500 0.500 0.500 K
0.000 0.000 0.000 Tl
0.250 0.250 0.250 Li
```

Computed properties:
Formation enthalpy at 0 K (eV per atom): 0.16
Energy (eV/f.u.): -5.2
E above lowest polymorph (eV/f.u.): 0.72
Space group: F-43m

***

Record 5
KLiTl: optimized geometry, GGA-PBEsol.

POSCAR file:
```
KLiTl
1.0
3.581 0.000 0.000
0.000 4.077 0.000
-1.791 -2.039 6.336
Tl K Li
1 1 1
direct
0.291 0.291 0.582 Tl
0.993 0.993 0.987 K
0.715 0.715 0.431 Li
```

Computed properties:
Formation enthalpy at 0 K (eV per atom): -0.08
Energy (eV/f.u.): -6.0
E above lowest polymorph (eV/f.u.): 0.00
Space group: Imm2

***

Record 6
KLi3Tl: optimized geometry, GGA-PBEsol.

POSCAR file:
```
KLi3Tl
1.0
5.352 0.000 0.000
0.000 5.352 0.000
0.000 0.000 5.352
K Li Tl
1 3 1
direct
0.500 0.500 0.500 K
0.500 0.000 0.000 Li
0.000 0.500 0.000 Li
0.000 0.000 0.500 Li
0.000 0.000 0.000 Tl
```

Computed properties:
Formation enthalpy at 0 K (eV per atom): -0.01
Energy (eV/f.u.): -9.7
Space group: Pm-3m

***

Record 7
K2LiTl: optimized geometry, GGA-PBEsol.

POSCAR file:
```
K2LiTl
1.0
3.973 0.000 0.000
0.000 3.973 0.000
0.000 0.000 10.020
Tl K Li
1 2 1
direct
0.500 0.500 0.678 Tl
0.000 0.000 0.923 K
0.500 0.500 0.316 K
0.000 0.000 0.584 Li
```

Computed properties:
Formation enthalpy at 0 K (eV per atom): -0.05
Energy (eV/f.u.): -7.1
E above lowest polymorph (eV/f.u.): 0.00
Space group: P4mm

***

Record 8
K2LiTl: optimized geometry, GGA-PBEsol.

POSCAR file:
```
K2LiTl
1.0
-1.717 6.320 -0.930
-6.813 1.165 -3.038
-3.598 3.329 5.742
K Tl Li
4 2 2
direct
0.620 0.505 0.005 K
0.875 0.995 0.505 K
0.130 0.495 0.995 K
0.375 0.005 0.495 K
0.000 0.000 0.000 Tl
0.750 0.500 0.500 Tl
0.500 0.000 0.000 Li
0.250 0.500 0.500 Li
```

Computed properties:
Formation enthalpy at 0 K (eV per atom): 0.13
Energy (eV/f.u.): -6.3
E above lowest polymorph (eV/f.u.): 0.73
Space group: I-42d

***

Record 9
KLi2YTl: optimized geometry, GGA-PBEsol.

POSCAR file:
```
KLi2YTl
1.0
-0.223 1.551 4.638
-4.193 -2.450 0.617
3.208 -5.030 1.836
K Li Y Tl
1 2 1 1
direct
0.000 0.000 0.000 K
0.000 0.500 0.000 Li
0.500 0.000 0.000 Li
0.000 0.000 0.500 Y
0.500 0.500 0.500 Tl
```

Computed properties:
Formation enthalpy at 0 K (eV per atom): 0.81
Energy (eV/f.u.): -10.5
Space group: P4/mmm

***

Record 10
KLiW2: optimized geometry, GGA-PBEsol.

POSCAR file:
```
KLiW2
1.0
2.653 0.013 0.000
-1.034 2.444 0.000
0.000 0.000 11.148
K W Li
1 2 1
direct
0.500 0.500 0.500 K
0.000 0.000 0.220 W
0.000 0.000 0.780 W
0.500 0.500 0.000 Li
```

Computed properties:
Formation enthalpy at 0 K (eV per atom): 1.08
Energy (eV/f.u.): -26.4
E above lowest polymorph (eV/f.u.): 1.24
Space group: Cmmm

***

Record 11
KLi2W: optimized geometry, GGA-PBEsol.

POSCAR file:
```
KLi2W
1.0
-2.367 -0.552 -1.298
0.484 -2.700 0.267
-5.010 0.005 9.137
W K Li
1 1 2
direct
0.000 0.000 0.456 W
0.500 0.500 0.733 K
0.500 0.500 0.263 Li
0.000 0.000 0.047 Li
```

Computed properties:
Formation enthalpy at 0 K (eV per atom): 0.81
Energy (eV/f.u.): -15.6
E above lowest polymorph (eV/f.u.): 0.10
Space group: P4mm

***

Record 12
KLiW2: optimized geometry, GGA-PBEsol.

POSCAR file:
```
KLiW2
1.0
-0.377 0.388 2.544
-0.268 -2.563 0.352
10.636 -0.876 1.709
K W Li
1 2 1
direct
0.500 0.500 0.000 K
0.000 0.000 0.714 W
0.000 0.000 0.286 W
0.500 0.500 0.500 Li
```

Computed properties:
Formation enthalpy at 0 K (eV per atom): 1.23
Energy (eV/f.u.): -25.8
E above lowest polymorph (eV/f.u.): 1.86
Space group: P4/mmm

***

> Look up the energy of the eighth one.

-6.3 eV/f.u.